[1]
Below is crystalline Pm3Ga5Rh6 at its relaxed geometry, with properties calculated at the PBE-GGA level.

Geometry as POSCAR:
```
Pm3Ga5Rh6
1.0
4.287 0.000 0.000
0.000 13.038 0.000
0.000 0.000 9.015
Pm Ga Rh
6 10 12
Direct
0.250 0.053 0.249 Pm
0.250 0.447 0.249 Pm
0.250 0.750 0.226 Pm
0.750 0.250 0.774 Pm
0.750 0.553 0.751 Pm
0.750 0.947 0.751 Pm
0.250 0.097 0.877 Ga
0.250 0.403 0.877 Ga
0.250 0.633 0.520 Ga
0.250 0.750 0.797 Ga
0.250 0.867 0.520 Ga
0.750 0.133 0.480 Ga
0.750 0.250 0.203 Ga
0.750 0.367 0.480 Ga
0.750 0.597 0.123 Ga
0.750 0.903 0.123 Ga
0.250 0.061 0.597 Rh
0.250 0.250 0.051 Rh
0.250 0.250 0.417 Rh
0.250 0.439 0.597 Rh
0.250 0.587 0.976 Rh
0.250 0.913 0.976 Rh
0.750 0.087 0.024 Rh
0.750 0.413 0.024 Rh
0.750 0.561 0.403 Rh
0.750 0.750 0.583 Rh
0.750 0.750 0.949 Rh
0.750 0.939 0.403 Rh
```

## Properties
The value obtained for the theoretical density is 9.2 g cm⁻³. Its calculated volume is 504 Å³ per cell. Its uncorrected energy is -6.053 eV/atom.

=====

[2]
Below is crystalline Pm2Ga6Rh9 at its relaxed geometry, with properties calculated at the PBE-GGA level.

Geometry as POSCAR:
```
Pm2Ga6Rh9
1.0
5.581 0.000 0.000
-2.791 4.834 0.000
0.000 0.000 11.622
Pm Ga Rh
2 6 9
Direct
0.000 0.000 0.199 Pm
0.000 0.000 0.801 Pm
0.333 0.667 0.165 Ga
0.333 0.667 0.500 Ga
0.333 0.667 0.835 Ga
0.667 0.333 0.165 Ga
0.667 0.333 0.500 Ga
0.667 0.333 0.835 Ga
0.000 0.500 0.000 Rh
0.000 0.500 0.331 Rh
0.000 0.500 0.669 Rh
0.500 0.000 0.000 Rh
0.500 0.000 0.331 Rh
0.500 0.000 0.669 Rh
0.500 0.500 0.000 Rh
0.500 0.500 0.331 Rh
0.500 0.500 0.669 Rh
```

## Properties
The value obtained for the theoretical density is 8.7 g cm⁻³. Its calculated volume is 314 Å³ per cell. Its uncorrected energy is -6.092 eV/atom.

=====

[3]
Below is crystalline Pm8Ga2Rh at its relaxed geometry, with properties calculated at the PBE-GGA level.

Geometry as POSCAR:
```
Pm8Ga2Rh
1.0
-2.693 3.492 8.186
2.693 -3.492 8.186
2.693 3.492 -8.186
Pm Ga Rh
8 2 1
Direct
0.135 0.370 0.765 Pm
0.197 0.197 0.000 Pm
0.253 0.000 0.253 Pm
0.395 0.630 0.765 Pm
0.605 0.370 0.235 Pm
0.747 0.000 0.747 Pm
0.803 0.803 0.000 Pm
0.865 0.630 0.235 Pm
0.316 0.816 0.500 Ga
0.684 0.184 0.500 Ga
0.000 0.500 0.500 Rh
```

## Properties
The value obtained for the theoretical density is 7.6 g cm⁻³. As for the relative energy among the computed polymorphs: 58 meV per atom. Its calculated volume is 308 Å³ per cell. Its uncorrected energy is -4.954 eV/atom.

=====

[4]
Below is crystalline PmGa2Rh at its relaxed geometry, with properties calculated at the PBE-GGA level.

Geometry as POSCAR:
```
PmGa2Rh
1.0
4.237 0.000 0.000
-2.119 3.670 0.000
0.000 0.000 15.496
Pm Ga Rh
3 6 3
Direct
0.000 0.000 0.000 Pm
0.333 0.667 0.667 Pm
0.667 0.333 0.333 Pm
0.000 0.000 0.214 Ga
0.000 0.000 0.786 Ga
0.333 0.667 0.453 Ga
0.333 0.667 0.881 Ga
0.667 0.333 0.119 Ga
0.667 0.333 0.547 Ga
0.000 0.000 0.500 Rh
0.333 0.667 0.167 Rh
0.667 0.333 0.833 Rh
```

## Properties
The value obtained for the theoretical density is 8.0 g cm⁻³. As for the relative energy among the computed polymorphs: 33 meV per atom. Its calculated volume is 241 Å³ per cell. Its uncorrected energy is -5.252 eV/atom.

=====

[5]
Below is crystalline Pm6GaRh5 at its relaxed geometry, with properties calculated at the PBE-GGA level.

Geometry as POSCAR:
```
Pm6GaRh5
1.0
4.957 0.000 0.000
0.000 7.213 0.000
-2.488 0.000 7.471
Pm Ga Rh
6 1 5
Direct
0.000 0.240 0.000 Pm
0.000 0.760 0.000 Pm
0.331 0.247 0.661 Pm
0.331 0.753 0.661 Pm
0.669 0.247 0.339 Pm
0.669 0.753 0.339 Pm
0.500 0.500 0.000 Ga
0.160 0.500 0.321 Rh
0.169 0.000 0.338 Rh
0.500 0.000 0.000 Rh
0.831 0.000 0.662 Rh
0.840 0.500 0.679 Rh
```

## Properties
The value obtained for the theoretical density is 9.0 g cm⁻³. Its calculated volume is 267 Å³ per cell. Its uncorrected energy is -6.343 eV/atom.

=====

[6]
Below is crystalline Pm2Ga4Rh at its relaxed geometry, with properties calculated at the PBE-GGA level.

Geometry as POSCAR:
```
Pm2Ga4Rh
1.0
0.000 4.265 4.472
4.252 0.000 4.472
4.252 4.265 0.000
Pm Ga Rh
2 4 1
Direct
0.250 0.250 0.250 Pm
0.750 0.750 0.750 Pm
0.212 0.788 0.788 Ga
0.213 0.787 0.213 Ga
0.787 0.213 0.787 Ga
0.788 0.212 0.212 Ga
0.500 0.500 0.500 Rh
```

## Properties
The value obtained for the theoretical density is 6.9 g cm⁻³. Its calculated volume is 162 Å³ per cell. Its uncorrected energy is -4.528 eV/atom.

=====

[7]
Below is crystalline PmGa2Rh at its relaxed geometry, with properties calculated at the PBE-GGA level.

Geometry as POSCAR:
```
PmGa2Rh
1.0
4.219 0.000 0.000
-2.110 3.654 0.000
0.000 0.000 10.387
Pm Ga Rh
2 4 2
Direct
0.333 0.667 0.250 Pm
0.667 0.333 0.750 Pm
0.333 0.667 0.573 Ga
0.333 0.667 0.927 Ga
0.667 0.333 0.073 Ga
0.667 0.333 0.427 Ga
0.000 0.000 0.000 Rh
0.000 0.000 0.500 Rh
```

## Properties
The value obtained for the theoretical density is 8.0 g cm⁻³. As for the relative energy among the computed polymorphs: 0 meV per atom. Its calculated volume is 160 Å³ per cell. Its uncorrected energy is -5.285 eV/atom.

=====

[8]
Below is crystalline Pm2GaRh2 at its relaxed geometry, with properties calculated at the PBE-GGA level.

Geometry as POSCAR:
```
Pm2GaRh2
1.0
5.107 -2.786 0.000
5.107 2.786 0.000
-1.938 0.000 7.480
Pm Ga Rh
4 2 4
Direct
0.000 0.293 0.149 Pm
0.000 0.707 0.851 Pm
0.293 0.000 0.649 Pm
0.707 0.000 0.351 Pm
0.360 0.640 0.250 Ga
0.640 0.360 0.750 Ga
0.231 0.503 0.493 Rh
0.497 0.769 0.007 Rh
0.503 0.231 0.993 Rh
0.769 0.497 0.507 Rh
```

## Properties
The value obtained for the theoretical density is 8.8 g cm⁻³. As for the relative energy among the computed polymorphs: 0 meV per atom. Its calculated volume is 213 Å³ per cell. Its uncorrected energy is -6.250 eV/atom.

=====

[9]
Below is crystalline Pm3GaRh3 at its relaxed geometry, with properties calculated at the PBE-GGA level.

Geometry as POSCAR:
```
Pm3GaRh3
1.0
2.076 -5.305 0.000
2.076 5.305 0.000
0.000 0.000 13.866
Pm Ga Rh
6 2 6
Direct
0.020 0.980 0.750 Pm
0.296 0.704 0.606 Pm
0.296 0.704 0.894 Pm
0.704 0.296 0.106 Pm
0.704 0.296 0.394 Pm
0.980 0.020 0.250 Pm
0.000 0.000 0.000 Ga
0.000 0.000 0.500 Ga
0.257 0.743 0.250 Rh
0.419 0.581 0.088 Rh
0.419 0.581 0.412 Rh
0.581 0.419 0.588 Rh
0.581 0.419 0.912 Rh
0.743 0.257 0.750 Rh
```

## Properties
The value obtained for the theoretical density is 8.8 g cm⁻³. As for the relative energy among the computed polymorphs: 0 meV per atom. Its calculated volume is 305 Å³ per cell. Its uncorrected energy is -6.399 eV/atom.

=====

[10]
Below is crystalline Pm2Ga3Rh2 at its relaxed geometry, with properties calculated at the PBE-GGA level.

Geometry as POSCAR:
```
Pm2Ga3Rh2
1.0
10.225 0.000 0.000
0.000 4.187 0.000
-2.962 0.000 6.486
Pm Ga Rh
4 6 4
Direct
0.145 0.000 0.269 Pm
0.355 0.500 0.731 Pm
0.645 0.500 0.269 Pm
0.855 0.000 0.731 Pm
0.000 0.500 0.500 Ga
0.135 0.500 0.943 Ga
0.365 0.000 0.057 Ga
0.500 0.000 0.500 Ga
0.635 0.000 0.943 Ga
0.865 0.500 0.057 Ga
0.132 0.000 0.706 Rh
0.368 0.500 0.294 Rh
0.632 0.500 0.706 Rh
0.868 0.000 0.294 Rh
```

## Properties
The value obtained for the theoretical density is 8.4 g cm⁻³. As for the relative energy among the computed polymorphs: 0 meV per atom. Its calculated volume is 278 Å³ per cell. Its uncorrected energy is -5.524 eV/atom.

=====

no.,formation energy (meV/atom)
1,-803
2,-573
3,-280
4,-713
5,-652
6,-391
7,-746
8,-804
9,-780
10,-769